Density functional theory data (PBE) for a relaxed Pr2GeBrCl crystal.

Properties
DFT total energy in eV/atom: -5.0853
Space group: P3m1, No. 156

```
5
Lattice="-1.225 3.986 -1.081 -0.989 -3.324 -2.555 -8.680 -1.298 5.048" Properties=species:S:1:pos:R:3 pbc="T T T"
Br -2.443 -1.093 -1.263
Cl -8.326 0.475 2.604
Ge -4.374 -0.654 2.544
Pr -4.071 1.112 0.129
Pr -6.911 -1.762 1.335
```

Density functional theory data (PBE) for a relaxed Ho2H2BrCl3 crystal.

Properties
DFT total energy in eV/atom: -4.5934
Space group: P3m1, No. 156

```
8
Lattice="3.738 0.000 0.000 -1.869 3.237 0.000 0.000 0.000 13.939" Properties=species:S:1:pos:R:3 pbc="T T T"
Br 0.000 0.000 12.329
Cl 1.869 1.079 1.750
Cl 1.869 1.079 5.237
Cl 0.000 0.000 8.653
H 0.000 0.000 3.490
H 1.869 1.079 10.416
Ho 0.000 2.158 3.491
Ho 0.000 2.158 10.389
```

Density functional theory data (PBE) for a relaxed Ho2H2Br3Cl crystal.

Properties
DFT total energy in eV/atom: -4.4217
Space group: P3m1, No. 156

```
8
Lattice="-0.059 3.718 0.724 -3.229 -1.837 -0.741 -1.698 -2.835 14.421" Properties=species:S:1:pos:R:3 pbc="T T T"
Br -0.638 -1.066 5.422
Br -3.225 -1.744 8.689
Br -3.667 -2.480 12.436
Cl -0.220 -0.368 1.872
H -2.594 -0.688 3.322
H -1.273 -2.126 10.815
Ho -1.534 1.169 3.781
Ho -2.390 -0.261 11.058
```

Density functional theory data (PBE) for a relaxed NdHBrCl crystal.

Properties
DFT total energy in eV/atom: -4.5647
Space group: P6_3mc, No. 186

```
8
Lattice="3.959 0.000 0.000 -1.980 3.429 0.000 0.000 0.000 14.437" Properties=species:S:1:pos:R:3 pbc="T T T"
Br 1.980 1.143 1.699
Br 0.000 2.286 8.918
Cl 1.980 1.143 5.423
Cl 0.000 2.286 12.642
H 0.000 2.286 3.647
H 1.980 1.143 10.866
Nd 0.000 0.000 3.668
Nd 0.000 0.000 10.887
```